## Tb4PrDy3 (PBE-GGA)

Data for an optimized crystal structure of Tb4PrDy3.

Unit cell a=6.303 b=7.297 c=11.383 alpha=90.00 beta=90.00 gamma=90.00
Atoms (fractional coordinates):
Tb (0.981, 0.124, 0.748)
Tb (0.981, 0.124, 0.252)
Tb (0.649, 0.124, 0.000)
Tb (0.481, 0.876, 0.248)
Tb (0.147, 0.875, 0.000)
Tb (0.149, 0.876, 0.500)
Tb (0.481, 0.876, 0.752)
Tb (0.647, 0.125, 0.500)
Dy (0.148, 0.374, 0.500)
Dy (0.481, 0.374, 0.250)
Dy (0.648, 0.626, 0.000)
Dy (0.481, 0.374, 0.750)
Dy (0.981, 0.626, 0.250)
Dy (0.981, 0.626, 0.750)
Pr (0.647, 0.626, 0.500)
Pr (0.147, 0.374, 0.000)

Values from the calculation:
DFT formation energy: 0.0160 eV per atom
offset from the most stable computed form: 0.0000 eV per atom


## Sr2NiHPt (PBE-GGA)

Data for an optimized crystal structure of Sr2NiHPt.

Unit cell a=5.296 b=5.296 c=3.531 alpha=90.00 beta=90.00 gamma=90.00
Atoms (fractional coordinates):
Pt (0.500, 0.500, 0.500)
Sr (0.000, 0.500, 0.000)
Sr (0.500, 0.000, 0.000)
H (0.000, 0.000, 0.000)
Ni (0.000, 0.000, 0.500)

Values from the calculation:
E_tot: -4.101 eV per atom


no.,DOS(E_F) (states/eV/f.u.),M_tot (μB/f.u.)
1,13.16,0.00
2,1.52,0.00